5
Lattice="-5.646 -0.955 3.503 2.465 -3.623 2.985 1.856 4.807 4.302" Properties=species:S:1:pos:R:3 comment="K2MoWF (GGA+U, relaxed)" total_energy_ev_per_atom=-2.738 spacegroup=P4/mmm m_tot_mub_per_fu=2.16 pbc="T T T"
K -2.823 -0.478 1.752
K 0.928 2.403 2.151
Mo 0.000 0.000 0.000
F -0.662 0.114 5.395
W 1.233 -1.812 1.492